Record 1
LuPaN: optimized geometry, GGA-PBE.

Calculated values
ΔE to the lowest computed polymorph = 289 meV/atom
Symmetry = No. 107
Volume = 21.42 Å³ per atom
Total energy = -8.07 eV/atom
Size of the total moment = 0.16 μB/f.u.
ΔE_f (raw) = -0.63 eV per atom

a = 3.1620 Å, b = 3.1620 Å, c = 6.8044 Å
α = 103.44°, β = 103.44°, γ = 90.00°
Sites, in units of the cell vectors:
1 Pa 0.3224 0.3224 0.6449
2 Lu 0.0382 0.0382 0.0764
3 N 0.4894 0.4894 0.9787

---

Record 2
Lu3PaN: optimized geometry, GGA-PBE.

Calculated values
Symmetry = No. 221
Volume = 22.01 Å³ per atom
Total energy = -6.58 eV/atom
Size of the total moment = 1.09 μB/f.u.
ΔE_f (raw) = -0.30 eV per atom

a = 4.7922 Å, b = 4.7922 Å, c = 4.7922 Å
α = 90.00°, β = 90.00°, γ = 90.00°
Sites, in units of the cell vectors:
1 Pa 0.5000 0.5000 0.5000
2 Lu 0.0000 0.5000 0.0000
3 Lu 0.0000 0.0000 0.5000
4 Lu 0.5000 0.0000 0.0000
5 N 0.0000 0.0000 0.0000

---

Record 3
Lu4Pb2N: optimized geometry, GGA-PBE.

Calculated values
Symmetry = No. 139
Volume = 24.13 Å³ per atom
Total energy = -5.67 eV/atom
Size of the total moment = 0.00 μB/f.u.
ΔE_f (raw) = -0.83 eV per atom

a = 4.6389 Å, b = 4.6389 Å, c = 8.5068 Å
α = 74.18°, β = 74.18°, γ = 90.00°
Sites, in units of the cell vectors:
1 Pb 0.6456 0.6456 0.7088
2 Pb 0.3544 0.3544 0.2912
3 Lu 0.8457 0.8457 0.3086
4 Lu 0.1543 0.1543 0.6914
5 Lu 0.0000 0.5000 0.0000
6 Lu 0.5000 0.0000 0.0000
7 N 0.0000 0.0000 0.0000

---

Record 4
Lu2PdN: optimized geometry, GGA-PBE.

Calculated values
Symmetry = No. 166
Volume = 17.25 Å³ per atom
Total energy = -6.82 eV/atom
Size of the total moment = 0.00 μB/f.u.
ΔE_f (raw) = -1.18 eV per atom

a = 3.3623 Å, b = 3.3623 Å, c = 7.3105 Å
α = 76.71°, β = 76.71°, γ = 60.00°
Sites, in units of the cell vectors:
1 Lu 0.7689 0.7689 0.6932
2 Lu 0.2311 0.2311 0.3068
3 Pd 0.0000 0.0000 0.0000
4 N 0.5000 0.5000 0.5000

---

Record 5
Lu3PdN: optimized geometry, GGA-PBE.

Calculated values
Symmetry = No. 221
Volume = 19.60 Å³ per atom
Total energy = -6.41 eV/atom
Size of the total moment = 0.30 μB/f.u.
ΔE_f (raw) = -1.00 eV per atom

a = 4.6108 Å, b = 4.6108 Å, c = 4.6108 Å
α = 90.00°, β = 90.00°, γ = 90.00°
Sites, in units of the cell vectors:
1 Lu 0.0000 0.5000 0.0000
2 Lu 0.0000 0.0000 0.5000
3 Lu 0.5000 0.0000 0.0000
4 Pd 0.5000 0.5000 0.5000
5 N 0.0000 0.0000 0.0000

---

Record 6
PmLu3N: optimized geometry, GGA-PBE.

Calculated values
Symmetry = No. 221
Volume = 23.07 Å³ per atom
Total energy = -5.84 eV/atom
Size of the total moment = 0.01 μB/f.u.
ΔE_f (raw) = -0.51 eV per atom

a = 4.8680 Å, b = 4.8680 Å, c = 4.8680 Å
α = 90.00°, β = 90.00°, γ = 90.00°
Sites, in units of the cell vectors:
1 Lu 0.0000 0.5000 0.0000
2 Lu 0.0000 0.0000 0.5000
3 Lu 0.5000 0.0000 0.0000
4 Pm 0.5000 0.5000 0.5000
5 N 0.0000 0.0000 0.0000

---

Record 7
PrLu2N: optimized geometry, GGA-PBE.

Calculated values
ΔE to the lowest computed polymorph = 556 meV/atom
Symmetry = No. 123
Volume = 21.62 Å³ per atom
Total energy = -5.73 eV/atom
Size of the total moment = 0.00 μB/f.u.
ΔE_f (raw) = -0.19 eV per atom

a = 3.1308 Å, b = 3.1308 Å, c = 8.8224 Å
α = 90.00°, β = 90.00°, γ = 90.00°
Sites, in units of the cell vectors:
1 Pr 0.5000 0.5000 0.5000
2 Lu 0.0000 0.0000 0.8417
3 Lu 0.0000 0.0000 0.1583
4 N 0.5000 0.5000 0.0000

---

Record 8
PrLuN: optimized geometry, GGA-PBE.

Calculated values
ΔE to the lowest computed polymorph = 478 meV/atom
Symmetry = No. 107
Volume = 21.52 Å³ per atom
Total energy = -6.36 eV/atom
Size of the total moment = 0.00 μB/f.u.
ΔE_f (raw) = -0.48 eV per atom

a = 3.1650 Å, b = 3.1650 Å, c = 6.8225 Å
α = 103.41°, β = 103.41°, γ = 90.00°
Sites, in units of the cell vectors:
1 Pr 0.0207 0.0207 0.0413
2 Lu 0.2638 0.2638 0.5276
3 N 0.7155 0.7155 0.4310

---

Record 9
Pr3LuN: optimized geometry, GGA-PBE.

Calculated values
Symmetry = No. 221
Volume = 27.65 Å³ per atom
Total energy = -5.88 eV/atom
Size of the total moment = 0.01 μB/f.u.
ΔE_f (raw) = -0.44 eV per atom

a = 5.1707 Å, b = 5.1707 Å, c = 5.1707 Å
α = 90.00°, β = 90.00°, γ = 90.00°
Sites, in units of the cell vectors:
1 Pr 0.0000 0.5000 0.0000
2 Pr 0.0000 0.0000 0.5000
3 Pr 0.5000 0.0000 0.0000
4 Lu 0.5000 0.5000 0.5000
5 N 0.0000 0.0000 0.0000

---

Record 10
PrLuN: optimized geometry, GGA-PBE.

Calculated values
ΔE to the lowest computed polymorph = 0 meV/atom
Symmetry = No. 156
Volume = 22.22 Å³ per atom
Total energy = -6.83 eV/atom
Size of the total moment = 0.52 μB/f.u.
ΔE_f (raw) = -0.96 eV per atom

a = 6.3105 Å, b = 3.4925 Å, c = 3.4925 Å
α = 120.00°, β = 90.00°, γ = 90.00°
Sites, in units of the cell vectors:
1 Pr 0.5694 0.6667 0.3333
2 Lu 0.1313 0.0000 0.0000
3 N 0.2993 0.3333 0.6667

---

Record 11
PrLu3N: optimized geometry, GGA-PBE.

Calculated values
Symmetry = No. 221
Volume = 23.27 Å³ per atom
Total energy = -5.84 eV/atom
Size of the total moment = 0.06 μB/f.u.
ΔE_f (raw) = -0.51 eV per atom

a = 4.8821 Å, b = 4.8821 Å, c = 4.8821 Å
α = 90.00°, β = 90.00°, γ = 90.00°
Sites, in units of the cell vectors:
1 Pr 0.5000 0.5000 0.5000
2 Lu 0.0000 0.5000 0.0000
3 Lu 0.0000 0.0000 0.5000
4 Lu 0.5000 0.0000 0.0000
5 N 0.0000 0.0000 0.0000

---

Record 12
PrLu2N: optimized geometry, GGA-PBE.

Calculated values
ΔE to the lowest computed polymorph = 0 meV/atom
Symmetry = No. 166
Volume = 23.43 Å³ per atom
Total energy = -6.28 eV/atom
Size of the total moment = 0.00 μB/f.u.
ΔE_f (raw) = -0.75 eV per atom

a = 3.3782 Å, b = 3.3782 Å, c = 9.6832 Å
α = 79.95°, β = 79.95°, γ = 60.00°
Sites, in units of the cell vectors:
1 Pr 0.0000 0.0000 0.0000
2 Lu 0.1208 0.1208 0.6377
3 Lu 0.8792 0.8792 0.3623
4 N 0.5000 0.5000 0.5000

---

Record 13
Lu12Pt3N5: optimized geometry, GGA-PBE.

Calculated values
Symmetry = No. 230
Volume = 20.55 Å³ per atom
Total energy = -6.90 eV/atom
Size of the total moment = 0.00 μB/f.u.
ΔE_f (raw) = -1.20 eV per atom

a = 12.8782 Å, b = 12.8782 Å, c = 12.8782 Å
α = 109.47°, β = 109.47°, γ = 109.47°
Sites, in units of the cell vectors:
1 Lu 0.7049 0.1192 0.0220
2 Lu 0.3171 0.5220 0.4028
3 Lu 0.9780 0.3808 0.2951
4 Lu 0.5220 0.2049 0.1192
5 Lu 0.5857 0.7049 0.6829
6 Lu 0.9780 0.5972 0.1829
7 Lu 0.3171 0.7951 0.4143
8 Lu 0.0972 0.9143 0.1192
9 Lu 0.5972 0.9780 0.6829
10 Lu 0.7049 0.5857 0.1829
11 Lu 0.7951 0.4780 0.3808
12 Lu 0.8171 0.9028 0.0220
13 Lu 0.1192 0.7049 0.5220
14 Lu 0.3808 0.4028 0.0857
15 Lu 0.0857 0.9028 0.3808
16 Lu 0.4143 0.1192 0.5972
17 Lu 0.0857 0.1829 0.2049
18 Lu 0.4780 0.6829 0.0972
19 Lu 0.8171 0.9143 0.2951
20 Lu 0.1192 0.4143 0.0972
21 Lu 0.3808 0.9780 0.7951
22 Lu 0.5972 0.6192 0.4143
23 Lu 0.9028 0.8171 0.5220
24 Lu 0.7951 0.3171 0.9143
25 Lu 0.4028 0.3808 0.5857
26 Lu 0.0972 0.1829 0.4780
27 Lu 0.2049 0.6829 0.0857
28 Lu 0.1829 0.0857 0.7049
29 Lu 0.6192 0.0220 0.2049
30 Lu 0.8808 0.5857 0.9028
31 Lu 0.5220 0.3171 0.9028
32 Lu 0.5857 0.8808 0.4028
33 Lu 0.9143 0.8171 0.7951
34 Lu 0.9143 0.0972 0.6192
35 Lu 0.8808 0.2951 0.4780
36 Lu 0.1829 0.0972 0.9780
37 Lu 0.6192 0.5972 0.9143
38 Lu 0.4028 0.0220 0.3171
39 Lu 0.2951 0.4143 0.8171
40 Lu 0.2049 0.5220 0.6192
41 Lu 0.9028 0.0857 0.8808
42 Lu 0.6829 0.2049 0.5857
43 Lu 0.4780 0.7951 0.8808
44 Lu 0.0220 0.4028 0.8171
45 Lu 0.4143 0.2951 0.3171
46 Lu 0.0220 0.6192 0.7049
47 Lu 0.6829 0.4780 0.5972
48 Lu 0.2951 0.8808 0.9780
49 Pt 0.7500 0.3750 0.1250
50 Pt 0.8750 0.7500 0.1250
51 Pt 0.3750 0.7500 0.6250
52 Pt 0.2500 0.1250 0.3750
53 Pt 0.8750 0.1250 0.2500
54 Pt 0.3750 0.6250 0.2500
55 Pt 0.6250 0.3750 0.7500
56 Pt 0.1250 0.8750 0.7500
57 Pt 0.7500 0.8750 0.6250
58 Pt 0.6250 0.2500 0.3750
59 Pt 0.1250 0.2500 0.8750
60 Pt 0.2500 0.6250 0.8750
61 N 0.1250 0.3750 0.2500
62 N 0.0000 0.5000 0.0000
63 N 0.0000 0.0000 0.0000
64 N 0.3750 0.2500 0.1250
65 N 0.5000 0.0000 0.5000
66 N 0.5000 0.5000 0.0000
67 N 0.1250 0.7500 0.3750
68 N 0.7500 0.1250 0.8750
69 N 0.7500 0.6250 0.3750
70 N 0.3750 0.1250 0.7500
71 N 0.6250 0.8750 0.2500
72 N 0.5000 0.5000 0.5000
73 N 0.5000 0.0000 0.0000
74 N 0.0000 0.0000 0.5000
75 N 0.2500 0.3750 0.6250
76 N 0.2500 0.8750 0.1250
77 N 0.0000 0.5000 0.5000
78 N 0.8750 0.2500 0.6250
79 N 0.6250 0.7500 0.8750
80 N 0.8750 0.6250 0.7500

---

Record 14
LuPtN3: optimized geometry, GGA-PBE.

Calculated values
Symmetry = No. 2
Volume = 15.76 Å³ per atom
Total energy = -7.58 eV/atom
Size of the total moment = 0.00 μB/f.u.
ΔE_f (raw) = -0.47 eV per atom

a = 3.5269 Å, b = 6.1536 Å, c = 8.0322 Å
α = 108.56°, β = 90.00°, γ = 106.61°
Sites, in units of the cell vectors:
1 Lu 0.8725 0.7452 0.1200
2 Lu 0.1275 0.2548 0.8800
3 Pt 0.6194 0.2380 0.2533
4 Pt 0.3806 0.7620 0.7467
5 N 0.3312 0.6625 0.9532
6 N 0.6688 0.3375 0.0468
7 N 0.6154 0.2287 0.4805
8 N 0.3681 0.7393 0.3692
9 N 0.3846 0.7713 0.5195
10 N 0.6319 0.2607 0.6308

---

Record 15
LuPu2N: optimized geometry, GGA-PBE.

Calculated values
Symmetry = No. 166
Volume = 20.68 Å³ per atom
Total energy = -10.32 eV/atom
Size of the total moment = 0.00 μB/f.u.
ΔE_f (raw) = 0.06 eV per atom

a = 3.9468 Å, b = 3.9468 Å, c = 6.5423 Å
α = 72.44°, β = 72.44°, γ = 60.00°
Sites, in units of the cell vectors:
1 N 0.0000 0.0000 0.0000
2 Lu 0.5000 0.5000 0.5000
3 Pu 0.3098 0.3098 0.0705
4 Pu 0.6902 0.6902 0.9295

---

Record 16
LuPuN: optimized geometry, GGA-PBE.

Calculated values
ΔE to the lowest computed polymorph = 1169 meV/atom
Symmetry = No. 107
Volume = 24.64 Å³ per atom
Total energy = -8.77 eV/atom
Size of the total moment = 6.16 μB/f.u.
ΔE_f (raw) = 0.28 eV per atom

a = 4.4705 Å, b = 4.4705 Å, c = 4.8653 Å
α = 117.35°, β = 117.35°, γ = 90.00°
Sites, in units of the cell vectors:
1 Lu 0.3386 0.3386 0.6771
2 Pu 0.8936 0.8936 0.7871
3 N 0.6179 0.6179 0.2358

---

Record 17
LuPuN: optimized geometry, GGA-PBE.

Calculated values
ΔE to the lowest computed polymorph = 0 meV/atom
Symmetry = No. 156
Volume = 19.97 Å³ per atom
Total energy = -9.94 eV/atom
Size of the total moment = 5.97 μB/f.u.
ΔE_f (raw) = -0.88 eV per atom

a = 6.0770 Å, b = 3.3740 Å, c = 3.3740 Å
α = 120.00°, β = 90.00°, γ = 90.00°
Sites, in units of the cell vectors:
1 N 0.3200 0.3333 0.6667
2 Lu 0.1127 0.0000 0.0000
3 Pu 0.5673 0.6667 0.3333

---

Record 18
Lu3Re5N12: optimized geometry, GGA-PBE.

Calculated values
Symmetry = No. 230
Volume = 12.56 Å³ per atom
Total energy = -9.28 eV/atom
Size of the total moment = 0.00 μB/f.u.
ΔE_f (raw) = -0.49 eV per atom

a = 10.9278 Å, b = 10.9278 Å, c = 10.9278 Å
α = 109.47°, β = 109.47°, γ = 109.47°
Sites, in units of the cell vectors:
1 Re 0.1250 0.3750 0.2500
2 Re 0.0000 0.5000 0.0000
3 Re 0.0000 0.0000 0.0000
4 Re 0.3750 0.2500 0.1250
5 Re 0.5000 0.0000 0.5000
6 Re 0.5000 0.5000 0.0000
7 Re 0.1250 0.7500 0.3750
8 Re 0.7500 0.1250 0.8750
9 Re 0.7500 0.6250 0.3750
10 Re 0.3750 0.1250 0.7500
11 Re 0.6250 0.8750 0.2500
12 Re 0.5000 0.5000 0.5000
13 Re 0.5000 0.0000 0.0000
14 Re 0.0000 0.0000 0.5000
15 Re 0.2500 0.3750 0.6250
16 Re 0.2500 0.8750 0.1250
17 Re 0.0000 0.5000 0.5000
18 Re 0.8750 0.2500 0.6250
19 Re 0.6250 0.7500 0.8750
20 Re 0.8750 0.6250 0.7500
21 Lu 0.7500 0.3750 0.1250
22 Lu 0.8750 0.7500 0.1250
23 Lu 0.3750 0.7500 0.6250
24 Lu 0.2500 0.1250 0.3750
25 Lu 0.8750 0.1250 0.2500
26 Lu 0.3750 0.6250 0.2500
27 Lu 0.6250 0.3750 0.7500
28 Lu 0.1250 0.8750 0.7500
29 Lu 0.7500 0.8750 0.6250
30 Lu 0.6250 0.2500 0.3750
31 Lu 0.1250 0.2500 0.8750
32 Lu 0.2500 0.6250 0.8750
33 N 0.7019 0.1188 0.0213
34 N 0.3194 0.5213 0.4024
35 N 0.9787 0.3812 0.2981
36 N 0.5213 0.2019 0.1188
37 N 0.5831 0.7019 0.6806
38 N 0.9787 0.5976 0.1806
39 N 0.3194 0.7981 0.4169
40 N 0.0976 0.9169 0.1188
41 N 0.5976 0.9787 0.6806
42 N 0.7019 0.5831 0.1806
43 N 0.7981 0.4787 0.3812
44 N 0.8194 0.9024 0.0213
45 N 0.1188 0.7019 0.5213
46 N 0.3812 0.4024 0.0831
47 N 0.0831 0.9024 0.3812
48 N 0.4169 0.1188 0.5976
49 N 0.0831 0.1806 0.2019
50 N 0.4787 0.6806 0.0976
51 N 0.8194 0.9169 0.2981
52 N 0.1188 0.4169 0.0976
53 N 0.3812 0.9787 0.7981
54 N 0.5976 0.6188 0.4169
55 N 0.9024 0.8194 0.5213
56 N 0.7981 0.3194 0.9169
57 N 0.4024 0.3812 0.5831
58 N 0.0976 0.1806 0.4787
59 N 0.2019 0.6806 0.0831
60 N 0.1806 0.0831 0.7019
61 N 0.6188 0.0213 0.2019
62 N 0.8812 0.5831 0.9024
63 N 0.5213 0.3194 0.9024
64 N 0.5831 0.8812 0.4024
65 N 0.9169 0.8194 0.7981
66 N 0.9169 0.0976 0.6188
67 N 0.8812 0.2981 0.4787
68 N 0.1806 0.0976 0.9787
69 N 0.6188 0.5976 0.9169
70 N 0.4024 0.0213 0.3194
71 N 0.2981 0.4169 0.8194
72 N 0.2019 0.5213 0.6188
73 N 0.9024 0.0831 0.8812
74 N 0.6806 0.2019 0.5831
75 N 0.4787 0.7981 0.8812
76 N 0.0213 0.4024 0.8194
77 N 0.4169 0.2981 0.3194
78 N 0.0213 0.6188 0.7019
79 N 0.6806 0.4787 0.5976
80 N 0.2981 0.8812 0.9787

---

Record 19
Lu2RhN: optimized geometry, GGA-PBE.

Calculated values
Symmetry = No. 166
Volume = 16.61 Å³ per atom
Total energy = -7.34 eV/atom
Size of the total moment = 0.00 μB/f.u.
ΔE_f (raw) = -1.16 eV per atom

a = 3.3379 Å, b = 3.3379 Å, c = 7.1514 Å
α = 76.50°, β = 76.50°, γ = 60.00°
Sites, in units of the cell vectors:
1 Lu 0.7667 0.7667 0.6999
2 Lu 0.2333 0.2333 0.3001
3 Rh 0.0000 0.0000 0.0000
4 N 0.5000 0.5000 0.5000

---

Record 20
Lu3RhN: optimized geometry, GGA-PBE.

Calculated values
Symmetry = No. 221
Volume = 19.22 Å³ per atom
Total energy = -6.83 eV/atom
Size of the total moment = 0.00 μB/f.u.
ΔE_f (raw) = -0.99 eV per atom

a = 4.5807 Å, b = 4.5807 Å, c = 4.5807 Å
α = 90.00°, β = 90.00°, γ = 90.00°
Sites, in units of the cell vectors:
1 Lu 0.0000 0.5000 0.0000
2 Lu 0.0000 0.0000 0.5000
3 Lu 0.5000 0.0000 0.0000
4 Rh 0.5000 0.5000 0.5000
5 N 0.0000 0.0000 0.0000